1.
First-principles (PBE) data for a geometry-optimized TlCoOs2 structure, as listed in the Alexandria database.

```
data_TlCoOs2
_symmetry_space_group_name_H-M 'R 3 m'
_symmetry_Int_Tables_number 160
_symmetry_space_group_name_Hall 'R 3 -2"'
_cell_length_a 2.8487
_cell_length_b 2.8487
_cell_length_c 26.7939
_cell_angle_alpha 90.00
_cell_angle_beta 90.00
_cell_angle_gamma 120.00
loop_
_atom_site_label
_atom_site_type_symbol
_atom_site_fract_x
_atom_site_fract_y
_atom_site_fract_z
_atom_site_occupancy
Tl1 Tl 0.0000 0.0000 0.0000 1
Co1 Co 0.0000 0.0000 0.2471 1
Os1 Os 0.0000 0.0000 0.5057 1
Os2 Os 0.0000 0.0000 0.7618 1
```

---

2.
First-principles (PBE) data for a geometry-optimized TlCoOs2 structure, as listed in the Alexandria database.

```
data_TlCoOs2
_symmetry_space_group_name_H-M 'P m m 2'
_symmetry_Int_Tables_number 25
_symmetry_space_group_name_Hall 'P 2 -2'
_cell_length_a 2.8140
_cell_length_b 3.6807
_cell_length_c 6.0893
_cell_angle_alpha 90.00
_cell_angle_beta 90.00
_cell_angle_gamma 90.00
loop_
_atom_site_label
_atom_site_type_symbol
_atom_site_fract_x
_atom_site_fract_y
_atom_site_fract_z
_atom_site_occupancy
Tl1 Tl 0.0000 0.0000 0.0000 1
Co1 Co 0.5000 0.5000 0.2629 1
Os1 Os 0.0000 0.0000 0.4802 1
Os2 Os 0.5000 0.5000 0.6790 1
```

---

| no. | mass density (Mg/m³) | E_form (eV/atom) | polymorph energy (0 for the lowest one) (eV/atom) |
| --- | --- | --- | --- |
| 1 | 17.03 | 0.683 | 0.138 |
| 2 | 16.95 | 0.613 | 0.068 |